Compound: YPuHgO6
Source: the Alexandria database
Functional: PBE
Structure: optimized geometry

Calculated values
**Space-group type**: P4_2nm, No. 102
**Formation energy without anion corrections**: -2.150 eV/atom

Unit cell a=5.1511 b=5.1511 c=10.2904 alpha=90.00 beta=90.00 gamma=90.00
Closest atoms and distances in Å follow each position.
Positions (direct):
Y1 0.5000 0.5000 0.1679  6 O 2.24-2.31
Y2 0.0000 0.0000 0.6679  6 O 2.24-2.31
Pu1 0.5000 0.5000 0.8322  6 O 2.01-2.04
Pu2 0.0000 0.0000 0.3322  6 O 2.01-2.04
Hg1 0.5000 0.5000 0.4988  6 O 2.34-2.42
Hg2 0.0000 0.0000 0.9988  6 O 2.34-2.42
O1 0.1801 0.8199 0.4839  1 Pu 2.04
O2 0.8199 0.1801 0.4839  1 Pu 2.04
O3 0.3199 0.3199 0.9839  1 Pu 2.04
O4 0.6801 0.6801 0.9839  1 Pu 2.04
O5 0.1936 0.8064 0.1900  1 Pu 2.03, 1 Y 2.24
O6 0.8064 0.1936 0.1900  1 Pu 2.03, 1 Y 2.24
O7 0.3064 0.3064 0.6900  1 Pu 2.03, 1 Y 2.24
O8 0.6936 0.6936 0.6900  1 Pu 2.03, 1 Y 2.24
O9 0.7756 0.2244 0.8266  1 Pu 2.01
O10 0.2244 0.7756 0.8266  1 Pu 2.01
O11 0.7244 0.7244 0.3266  1 Pu 2.01
O12 0.2756 0.2756 0.3266  1 Pu 2.01

***

Compound: PuZnHgO6
Source: the Alexandria database
Functional: PBE
Structure: optimized geometry

Calculated values
**Space-group type**: P-31c, No. 163
**Formation energy without anion corrections**: -1.353 eV/atom

Unit cell a=5.4053 b=5.4053 c=9.8483 alpha=90.00 beta=90.00 gamma=120.00
Closest atoms and distances in Å follow each position.
Positions (direct):
Pu1 0.3333 0.6667 0.2500  6 O 1.99
Pu2 0.6667 0.3333 0.7500  6 O 1.99
Zn1 0.6667 0.3333 0.2500  6 O 2.11
Zn2 0.3333 0.6667 0.7500  6 O 2.11
Hg1 0.0000 0.0000 0.0000  6 O 2.38
Hg2 0.0000 0.0000 0.5000  6 O 2.38
O1 0.6310 0.6482 0.1383  1 Pu 1.99, 1 Zn 2.11
O2 0.0172 0.3690 0.1383  1 Pu 1.99, 1 Zn 2.11
O3 0.3690 0.0172 0.6383  1 Pu 1.99, 1 Zn 2.11
O4 0.9828 0.6310 0.8617  1 Pu 1.99, 1 Zn 2.11
O5 0.3518 0.3690 0.3617  1 Pu 1.99, 1 Zn 2.11
O6 0.0172 0.6482 0.3617  1 Pu 1.99, 1 Zn 2.11
O7 0.6482 0.0172 0.8617  1 Pu 1.99, 1 Zn 2.11
O8 0.6310 0.9828 0.3617  1 Pu 1.99, 1 Zn 2.11
O9 0.9828 0.3518 0.6383  1 Pu 1.99, 1 Zn 2.11
O10 0.3518 0.9828 0.1383  1 Pu 1.99, 1 Zn 2.11
O11 0.6482 0.6310 0.6383  1 Pu 1.99, 1 Zn 2.11
O12 0.3690 0.3518 0.8617  1 Pu 1.99, 1 Zn 2.11

***

Compound: PuZnHg2O6
Source: the Alexandria database
Functional: PBE
Structure: optimized geometry

Calculated values
**Space-group type**: R-3, No. 148
**Formation energy without anion corrections**: -1.308 eV/atom

Unit cell a=5.6563 b=5.6565 c=5.8417 alpha=61.04 beta=61.04 gamma=59.99
Closest atoms and distances in Å follow each position.
Positions (direct):
Pu1 0.3162 0.3162 0.0515  6 O 2.10
Zn1 0.8162 0.8162 0.5515  6 O 2.13
Hg1 0.5596 0.5595 0.3213  3 O 2.25
Hg2 0.0727 0.0728 0.7819  3 O 2.25
O1 0.5596 0.1715 0.3031  1 Pu 2.10, 1 Zn 2.13, 1 Hg 2.25
O2 0.1716 0.9658 0.3031  1 Pu 2.10, 1 Zn 2.13, 1 Hg 2.25
O3 0.9658 0.5595 0.3031  1 Pu 2.10, 1 Zn 2.13, 1 Hg 2.25
O4 0.4607 0.6665 0.7999  1 Pu 2.10, 1 Zn 2.13, 1 Hg 2.25
O5 0.6665 0.0728 0.7999  1 Pu 2.10, 1 Zn 2.13, 1 Hg 2.25
O6 0.0727 0.4608 0.7999  1 Pu 2.10, 1 Zn 2.13, 1 Hg 2.25

***

Compound: PuZn2HgO6
Source: the Alexandria database
Functional: PBE
Structure: optimized geometry

Calculated values
**Space-group type**: P1, No. 1
**Formation energy without anion corrections**: -1.558 eV/atom

Unit cell a=5.7483 b=5.8649 c=6.9453 alpha=57.80 beta=50.74 gamma=56.86
Closest atoms and distances in Å follow each position.
Positions (direct):
Pu1 0.3317 0.3194 0.0277  2 O 1.88-1.90
Zn1 0.4865 0.5027 0.3666  4 O 1.97-2.01
Zn2 0.0159 0.0852 0.9416  4 O 1.97-2.09
Hg1 0.7909 0.8344 0.5625  2 O 2.05-2.09
O1 0.5729 0.2410 0.2182  2 Zn 1.97-2.04
O2 0.2255 0.9011 0.2598  1 Zn 2.00, 1 Hg 2.09
O3 0.9084 0.5004 0.2524  1 Pu 1.90, 1 Zn 2.01
O4 0.3698 0.7486 0.8308  1 Zn 1.97, 1 Hg 2.05, 1 Pu 2.19
O5 0.7496 0.1419 0.8018  1 Pu 1.88, 1 Zn 2.09
O6 0.2103 0.3870 0.7538  2 Zn 1.98-2.01, 1 Pu 2.20

***

Compound: Pu2ZnHgO8
Source: the Alexandria database
Functional: PBE
Structure: optimized geometry

Calculated values
**Space-group type**: I-4m2, No. 119
**Formation energy without anion corrections**: -1.418 eV/atom

Unit cell a=6.5171 b=6.5171 c=6.5171 alpha=119.47 beta=119.47 gamma=90.92
Closest atoms and distances in Å follow each position.
Positions (direct):
Pu1 0.7500 0.2500 0.5000  4 O 1.93
Pu2 0.5000 0.5000 0.0000  4 O 2.00
Zn1 0.2500 0.7500 0.5000  4 O 2.03
Hg1 0.0000 0.0000 0.0000  4 O 2.15
O1 0.3948 0.0945 0.3002  1 Pu 1.93, 1 Hg 2.15
O2 0.3531 0.5793 0.2262  1 Pu 2.00, 1 Zn 2.03
O3 0.3531 0.1269 0.7738  1 Pu 2.00, 1 Zn 2.03
O4 0.7943 0.0945 0.6998  1 Pu 1.93, 1 Hg 2.15
O5 0.8731 0.6469 0.2262  1 Pu 2.00, 1 Zn 2.03
O6 0.9055 0.2057 0.3002  1 Pu 1.93, 1 Hg 2.15
O7 0.9055 0.6052 0.6998  1 Pu 1.93, 1 Hg 2.15
O8 0.4207 0.6469 0.7738  1 Pu 2.00, 1 Zn 2.03

***

Compound: RbHg3O3
Source: the Alexandria database
Functional: PBE
Structure: optimized geometry

Calculated values
**Space-group type**: R-3, No. 148
**Formation energy without anion corrections**: -0.390 eV/atom

Unit cell a=6.7585 b=6.7585 c=8.6391 alpha=66.97 beta=66.97 gamma=60.00
Closest atoms and distances in Å follow each position.
Positions (direct):
Rb1 0.3304 0.3304 0.0089  6 O 3.05-3.21
Rb2 0.6696 0.6696 0.9911  6 O 3.05-3.21
Hg1 0.4031 0.8136 0.6585  3 O 2.25-2.38
Hg2 0.8136 0.1248 0.6585  3 O 2.25-2.38
Hg3 0.1248 0.4031 0.6585  3 O 2.25-2.38
Hg4 0.8752 0.5969 0.3415  3 O 2.25-2.38
Hg5 0.1864 0.8752 0.3415  3 O 2.25-2.38
Hg6 0.5969 0.1864 0.3415  3 O 2.25-2.38
O1 0.2557 0.5407 0.2922  3 Hg 2.25-2.38
O2 0.9114 0.2557 0.2922  3 Hg 2.25-2.38
O3 0.5407 0.9114 0.2922  3 Hg 2.25-2.38
O4 0.4593 0.0886 0.7078  3 Hg 2.25-2.38
O5 0.0886 0.7443 0.7078  3 Hg 2.25-2.38
O6 0.7443 0.4593 0.7078  3 Hg 2.25-2.38